Zn2HgRh at its PBEsol-relaxed geometry. Source: the Alexandria database, functional meta-GGA SCAN.

Output
calculated formation energy: -0.137 eV per atom
symmetry: No. 123

Structure (extended XYZ):
```
4
Lattice="-0.443 -2.077 -3.172 -3.232 -1.665 1.541 -2.221 2.865 -1.565" Properties=species:S:1:pos:R:3 pbc="T T T"
Hg -2.948 -0.438 -1.598
Rh -0.221 -1.038 -1.586
Zn -1.111 1.432 -0.783
Zn -1.616 -0.832 0.770
```


ZnHgRh at its PBEsol-relaxed geometry. Source: the Alexandria database, functional meta-GGA SCAN.

Output
calculated formation energy: 0.004 eV per atom
symmetry: No. 156

Structure (extended XYZ):
```
3
Lattice="-0.764 2.685 -1.011 -4.123 -1.125 0.127 1.829 1.807 3.416" Properties=species:S:1:pos:R:3 pbc="T T T"
Hg -0.037 0.132 -0.050
Rh -0.610 2.427 1.718
Zn -2.411 0.808 0.864
```


Zn2HgRh at its PBEsol-relaxed geometry. Source: the Alexandria database, functional meta-GGA SCAN.

Output
calculated formation energy: -0.121 eV per atom
symmetry: No. 44

Structure (extended XYZ):
```
4
Lattice="3.696 0.000 0.000 0.000 3.825 0.000 -1.848 -1.912 4.243" Properties=species:S:1:pos:R:3 pbc="T T T"
Hg 1.848 1.912 0.002
Rh 0.000 1.912 2.146
Zn 1.848 1.912 4.233
Zn 1.848 0.000 2.107
```


Zn2HgRh at its PBEsol-relaxed geometry. Source: the Alexandria database, functional meta-GGA SCAN.

Output
calculated formation energy: -0.059 eV per atom
symmetry: No. 6

Structure (extended XYZ):
```
4
Lattice="2.866 0.000 -0.022 0.000 4.109 0.000 -1.332 0.000 5.153" Properties=species:S:1:pos:R:3 pbc="T T T"
Hg 0.926 0.000 2.441
Rh -0.442 2.054 4.142
Zn 1.002 0.000 4.990
Zn 2.348 2.054 1.255
```


Zn2HgRh at its PBEsol-relaxed geometry. Source: the Alexandria database, functional meta-GGA SCAN.

Output
calculated formation energy: -0.117 eV per atom
symmetry: No. 65

Structure (extended XYZ):
```
4
Lattice="-0.111 1.663 2.568 3.155 -2.626 1.836 2.357 3.260 -2.010" Properties=species:S:1:pos:R:3 pbc="T T T"
Hg -0.055 0.831 1.284
Rh 2.701 1.149 1.197
Zn 1.578 -1.313 0.918
Zn 1.178 1.630 -1.005
```


Zr3HgRh at its PBEsol-relaxed geometry. Source: the Alexandria database, functional meta-GGA SCAN.

Output
calculated formation energy: 0.041 eV per atom
symmetry: No. 221

Structure (extended XYZ):
```
5
Lattice="-0.900 -1.758 4.520 -4.034 -2.280 -1.690 2.692 -4.005 -1.022" Properties=species:S:1:pos:R:3 pbc="T T T"
Rh 0.000 0.000 0.000
Hg -1.121 -4.022 0.904
Zr -2.017 -1.140 -0.845
Zr 1.346 -2.003 -0.511
Zr -0.450 -0.879 2.260
```


Zr2HgRh at its PBEsol-relaxed geometry. Source: the Alexandria database, functional meta-GGA SCAN.

Output
calculated formation energy: -0.422 eV per atom
symmetry: No. 166

Structure (extended XYZ):
```
4
Lattice="3.400 0.000 0.000 1.700 2.944 0.000 1.700 0.981 8.158" Properties=species:S:1:pos:R:3 pbc="T T T"
Hg 3.400 1.963 4.079
Rh 0.000 0.000 0.000
Zr 1.700 0.981 1.763
Zr 5.100 2.944 6.395
```


Zr2HgRh at its PBEsol-relaxed geometry. Source: the Alexandria database, functional meta-GGA SCAN.

Output
calculated formation energy: -0.587 eV per atom
symmetry: No. 10

Structure (extended XYZ):
```
4
Lattice="-1.517 1.734 -2.298 -2.763 -0.149 1.712 1.811 6.067 3.381" Properties=species:S:1:pos:R:3 pbc="T T T"
Rh -2.140 0.792 -0.293
Hg -1.235 3.826 1.398
Zr 1.399 4.712 2.631
Zr -2.351 1.205 2.462
```


Zr2HgRh at its PBEsol-relaxed geometry. Source: the Alexandria database, functional meta-GGA SCAN.

Output
calculated formation energy: -0.456 eV per atom
symmetry: No. 44

Structure (extended XYZ):
```
4
Lattice="3.377 0.000 0.000 0.000 4.627 -0.022 -1.688 -2.290 4.915" Properties=species:S:1:pos:R:3 pbc="T T T"
Hg 0.000 0.023 4.668
Rh 1.688 0.010 2.373
Zr 0.000 0.002 0.278
Zr 0.000 2.326 2.478
```


ZrHgRh2 at its PBEsol-relaxed geometry. Source: the Alexandria database, functional meta-GGA SCAN.

Output
calculated formation energy: -0.609 eV per atom
symmetry: No. 47

Structure (extended XYZ):
```
4
Lattice="3.294 0.000 0.000 0.000 3.306 0.000 0.000 0.000 6.134" Properties=species:S:1:pos:R:3 pbc="T T T"
Rh 0.000 0.000 4.671
Rh 0.000 0.000 1.462
Hg 1.647 1.653 3.067
Zr 1.647 1.653 0.000
```


Hg3Ru at its PBEsol-relaxed geometry. Source: the Alexandria database, functional meta-GGA SCAN.

Output
calculated formation energy: 0.448 eV per atom
symmetry: No. 123

Structure (extended XYZ):
```
4
Lattice="2.969 0.000 0.000 0.000 2.969 0.000 0.000 0.000 8.788" Properties=species:S:1:pos:R:3 pbc="T T T"
Hg 0.000 0.000 6.891
Hg 0.000 0.000 1.897
Hg 1.484 1.484 4.394
Ru 1.484 1.484 0.000
```


HgSbRu at its PBEsol-relaxed geometry. Source: the Alexandria database, functional meta-GGA SCAN.

Output
ΔE_f (raw): 93 kJ per mole of atoms
symmetry: No. 216

Structure (extended XYZ):
```
3
Lattice="4.533 0.000 0.000 2.267 3.926 0.000 2.267 1.309 3.701" Properties=species:S:1:pos:R:3 pbc="T T T"
Hg 2.267 1.309 0.925
Ru 0.000 0.000 0.000
Sb 4.533 2.617 1.851
```


HgSbRu2 at its PBEsol-relaxed geometry. Source: the Alexandria database, functional meta-GGA SCAN.

Output
ΔE_f (raw): 25 kJ per mole of atoms
symmetry: No. 123

Structure (extended XYZ):
```
4
Lattice="-2.934 1.065 -0.473 -0.942 -2.921 -0.738 -1.433 -1.136 6.329" Properties=species:S:1:pos:R:3 pbc="T T T"
Hg -2.654 -1.496 2.560
Ru -1.107 -0.878 4.892
Ru -0.325 -0.258 1.438
Sb -1.938 -0.928 -0.605
```


HgSb2RuSe at its PBEsol-relaxed geometry. Source: the Alexandria database, functional meta-GGA SCAN.

Output
ΔE_f (raw): 135 kJ per mole of atoms
symmetry: No. 123

Structure (extended XYZ):
```
5
Lattice="5.053 0.000 0.000 0.000 5.354 0.000 0.000 0.000 5.354" Properties=species:S:1:pos:R:3 pbc="T T T"
Sb 0.000 0.000 2.677
Sb 0.000 2.677 0.000
Hg 0.000 0.000 0.000
Se 2.527 2.677 2.677
Ru 2.527 0.000 0.000
```


Sc2HgRu at its PBEsol-relaxed geometry. Source: the Alexandria database, functional meta-GGA SCAN.

Output
calculated formation energy: -0.410 eV per atom
symmetry: No. 119

Structure (extended XYZ):
```
4
Lattice="-2.752 -0.183 -2.972 2.421 -2.492 -2.089 -1.704 -2.106 4.473" Properties=species:S:1:pos:R:3 pbc="T T T"
Hg -0.165 -1.337 -2.530
Ru 0.276 -2.968 -0.073
Sc 0.000 0.000 0.000
Sc -2.310 -1.813 -0.515
```